Entry 1:
Crystalline CuHgOs2 at its relaxed geometry, computed with PBE-GGA.

POSCAR file:
```
CuHgOs2
1.0
1.4081 -2.3923 0.0000
1.4081 2.3923 0.0000
0.0000 0.0000 9.5042
Cu Hg Os
1 1 2
direct
0.0000 0.0000 0.0000 Cu
0.5000 0.5000 0.2574 Hg
0.0000 0.0000 0.5384 Os
0.5000 0.5000 0.7668 Os
```

Summary:
- DFT formation energy (eV/atom) = 0.67
- E_tot (eV/cell) = -24.2

=====

Entry 2:
Crystalline SmDy3Tl4 at its relaxed geometry, computed with PBE-GGA.

POSCAR file:
```
SmDy3Tl4
1.0
10.8335 0.0000 0.0000
0.0000 7.5486 0.0000
0.0000 0.0000 5.4162
Sm Dy Tl
2 6 8
direct
0.0000 0.0000 0.0000 Sm
0.5000 0.0000 0.0000 Sm
0.0000 0.5000 0.0000 Dy
0.2500 0.0000 0.4979 Dy
0.2500 0.5000 0.4977 Dy
0.5000 0.5000 0.0000 Dy
0.7500 0.0000 0.5021 Dy
0.7500 0.5000 0.5023 Dy
0.0000 0.2535 0.5000 Tl
0.0000 0.7465 0.5000 Tl
0.2500 0.2535 0.9974 Tl
0.2500 0.7465 0.9974 Tl
0.5000 0.2535 0.5000 Tl
0.5000 0.7465 0.5000 Tl
0.7500 0.2535 0.0026 Tl
0.7500 0.7465 0.0026 Tl
```

Summary:
- DFT formation energy (eV/atom) = -0.35
- relative energy among the computed polymorphs (meV per atom) = 0
- E_tot (eV/cell) = -61.6

=====

Entry 3:
Crystalline Tc2MoRh at its relaxed geometry, computed with PBE-GGA.

POSCAR file:
```
Tc2MoRh
1.0
-1.8938 1.8938 8.9480
1.8938 -1.8938 8.9480
1.8938 1.8938 -8.9480
Tc Mo Rh
4 2 2
direct
0.1142 0.6250 0.9892 Tc
0.3750 0.3642 0.4892 Tc
0.6358 0.1250 0.0108 Tc
0.8750 0.8858 0.5108 Tc
0.2500 0.7500 0.5000 Mo
0.5000 0.5000 0.0000 Mo
0.0000 0.0000 0.0000 Rh
0.7500 0.2500 0.5000 Rh
```

Summary:
- DFT formation energy (eV/atom) = 0.60
- relative energy among the computed polymorphs (meV per atom) = 668
- E_tot (eV/cell) = -73.0

=====

Entry 4:
Crystalline AsAuIO2 at its relaxed geometry, computed with PBE-GGA.

POSCAR file:
```
AsAuIO2
1.0
4.0077 0.0000 0.0000
0.0000 4.0077 0.0000
0.0000 0.0000 7.6911
As Au I O
1 1 1 2
direct
0.0000 0.0000 0.0000 As
0.5000 0.5000 0.5000 Au
0.5000 0.5000 0.0000 I
0.0000 0.5000 0.5000 O
0.5000 0.0000 0.5000 O
```

Summary:
- relative energy among the computed polymorphs (meV per atom) = 745
- E_tot (eV/cell) = -16.3
- formation energy (no corrections) (meV/atom) = 610

=====

Entry 5:
Crystalline Pm5Y2HoSc at its relaxed geometry, computed with PBE-GGA.

POSCAR file:
```
Pm5Y2HoSc
1.0
2.6805 -10.9595 0.0000
2.6805 10.9595 0.0000
0.0000 0.0000 10.1735
Pm Y Ho Sc
10 4 2 2
direct
0.0000 0.0000 0.0000 Pm
0.0000 0.0000 0.5000 Pm
0.1258 0.8742 0.7500 Pm
0.2211 0.7789 0.0625 Pm
0.2211 0.7789 0.4375 Pm
0.4991 0.5009 0.2500 Pm
0.5009 0.4991 0.7500 Pm
0.7789 0.2211 0.5625 Pm
0.7789 0.2211 0.9375 Pm
0.8742 0.1258 0.2500 Pm
0.3839 0.6161 0.5013 Y
0.3839 0.6161 0.9987 Y
0.6161 0.3839 0.0013 Y
0.6161 0.3839 0.4987 Y
0.1012 0.8988 0.2500 Ho
0.8988 0.1012 0.7500 Ho
0.2847 0.7153 0.7500 Sc
0.7153 0.2847 0.2500 Sc
```

Summary:
- DFT formation energy (eV/atom) = 0.12
- E_tot (eV/cell) = -92.9

=====

Entry 6:
Crystalline Ba2AgPdAu6 at its relaxed geometry, computed with PBE-GGA.

POSCAR file:
```
Ba2AgPdAu6
1.0
0.0000 5.2053 5.2053
5.2053 0.0000 5.2053
5.2053 5.2053 0.0000
Ba Ag Pd Au
2 1 1 6
direct
0.2500 0.2500 0.2500 Ba
0.7500 0.7500 0.7500 Ba
0.0000 0.0000 0.0000 Ag
0.5000 0.5000 0.5000 Pd
0.2520 0.2520 0.7480 Au
0.2520 0.7480 0.2520 Au
0.2520 0.7480 0.7480 Au
0.7480 0.2520 0.2520 Au
0.7480 0.2520 0.7480 Au
0.7480 0.7480 0.2520 Au
```

Summary:
- DFT formation energy (eV/atom) = -0.26
- E_tot (eV/cell) = -34.1

=====

Entry 7:
Crystalline NaHfH2 at its relaxed geometry, computed with PBE-GGA.

POSCAR file:
```
NaHfH2
1.0
0.0000 2.8393 2.8393
2.8393 0.0000 2.8393
2.8393 2.8393 0.0000
Na Hf H
1 1 2
direct
0.0000 0.0000 0.0000 Na
0.5000 0.5000 0.5000 Hf
0.2500 0.2500 0.2500 H
0.7500 0.7500 0.7500 H
```

Summary:
- relative energy among the computed polymorphs (meV per atom) = 568
- E_tot (eV/cell) = -15.4

=====

Entry 8:
Crystalline NaSr2Au6 at its relaxed geometry, computed with PBE-GGA.

POSCAR file:
```
NaSr2Au6
1.0
8.2364 0.0000 0.0000
-4.1182 7.1329 0.0000
0.0000 0.0000 3.8886
Na Sr Au
1 2 6
direct
0.0000 0.0000 0.0000 Na
0.3333 0.6667 0.0000 Sr
0.6667 0.3333 0.0000 Sr
0.0000 0.3327 0.5000 Au
0.0000 0.6673 0.5000 Au
0.3327 0.0000 0.5000 Au
0.3327 0.3327 0.5000 Au
0.6673 0.0000 0.5000 Au
0.6673 0.6673 0.5000 Au
```

Summary:
- DFT formation energy (eV/atom) = -0.55
- E_tot (eV/cell) = -29.3